VASP calculation (PBE) on a relaxed structure of ZrNbCu. Values from VASP.

Its excess energy over the best structure of this formula in the dataset is 11.66 kJ/mol of atoms.

Geometry as Quantum ESPRESSO input:
```
&SYSTEM
  ibrav = 0, nat = 3, ntyp = 3
/
ATOMIC_SPECIES
Cu 63.55 Cu.upf
Nb 92.91 Nb.upf
Zr 91.22 Zr.upf
CELL_PARAMETERS angstrom
2.901 0.000 0.000
0.000 2.901 0.000
-1.450 -1.450 6.312
ATOMIC_POSITIONS crystal
Cu 0.329 0.329 0.659
Nb 0.679 0.679 0.358
Zr 0.991 0.991 0.983
```